DFT (meta-GGA SCAN) results for a PBEsol-optimized structure of SnBrF.

Computed properties:
symmetry	P4/nmm, No. 129
E_tot	-126.87	eV per cell

Unit cell a=4.0374 b=4.0374 c=7.6649 alpha=90.00 beta=90.00 gamma=90.00
Last column: nearest neighbours and their distance in Å.
Fractional positions:
Sn 0.2500 0.2500 0.1901  4 F 2.49
Sn 0.7500 0.7500 0.8099  4 F 2.49
Br 0.2500 0.2500 0.6515  4 Sn 3.10, 4 F 3.35
Br 0.7500 0.7500 0.3485  4 Sn 3.10, 4 F 3.35
F 0.2500 0.7500 0.0000  4 Sn 2.49
F 0.7500 0.2500 0.0000  4 Sn 2.49